Here is an optimized crystal structure of TlGaRe2 from Alexandria. Energies are from PBE-GGA.

Cell lengths 4.056, 4.056, 9.927 Å; angles 78.21, 78.21, 90.00 degrees
Element x y z (fractional)
Tl  0.000  0.000  0.000
Tl  0.750  0.250  0.500
Re  0.541  0.125  0.250
Re  0.875  0.791  0.750
Re  0.375  0.459  0.750
Re  0.209  0.625  0.250
Ga  0.500  0.500  0.000
Ga  0.250  0.750  0.500

Results
ρ: 13.73 g cm⁻³
calculated formation energy: 78 kJ per mole of atoms
symmetry: I-42d (122)
final energy: -6.760 eV/atom